{"formula": "LiSb", "functional": "SCAN", "state": "PBEsol geometry", "lattice_angstrom": [[3.177, 0.000, 0.000], [1.589, 5.277, -0.085], [1.589, 1.604, 7.726]], "species": ["Li", "Sb", "Li", "Sb", "Li", "Sb"], "fractional_positions": [[0.966, 0.084, 0.985], [0.239, 0.553, 0.968], [0.739, 0.864, 0.657], [0.023, 0.334, 0.620], [0.569, 0.569, 0.293], [0.297, 0.096, 0.310]], "sg": "Cm", "total_energy_ev_per_atom": -20.194, "polymorph_energy_ev_per_atom": 0.081, "e_form_raw_ev_per_atom": -0.3684}


{"formula": "Li2Sb", "functional": "SCAN", "state": "PBEsol geometry", "lattice_angstrom": [[3.206, 0.000, 0.000], [0.000, 7.865, 0.000], [0.000, -3.933, 6.811]], "species": ["Li", "Li", "Li", "Sb", "Li", "Li", "Sb", "Sb", "Li"], "fractional_positions": [[0.000, 0.293, 0.000], [0.000, 0.000, 0.293], [0.500, 0.000, 0.632], [0.000, 0.667, 0.333], [0.000, 0.707, 0.707], [0.500, 0.368, 0.368], [0.000, 0.333, 0.667], [0.500, 0.000, 0.000], [0.500, 0.632, 0.000]], "sg": "P-62m", "total_energy_ev_per_atom": -14.637, "polymorph_energy_ev_per_atom": 0.000, "e_form_raw_ev_per_atom": -0.6234}